No. 1
# Ac8Pm2In (PBE, relaxed)
# space group	Immm
# total magnetization	0.00	μB/cell
data_Ac8Pm2In
_chemical_formula_sum 'Ac8 Pm2 In1'
_cell_length_a 10.729
_cell_length_b 10.729
_cell_length_c 10.729
_cell_angle_alpha 147.05
_cell_angle_beta 135.50
_cell_angle_gamma 56.47
_symmetry_space_group_name_H-M 'P 1'
_symmetry_Int_Tables_number 1
loop_
_symmetry_equiv_pos_as_xyz
'x,y,z'
loop_
_atom_site_label
_atom_site_type_symbol
_atom_site_fract_x
_atom_site_fract_y
_atom_site_fract_z
Ac1 Ac 0.131 0.362 0.768
Ac2 Ac 0.183 0.183 0.000
Ac3 Ac 0.252 0.000 0.252
Ac4 Ac 0.406 0.638 0.768
Ac5 Ac 0.594 0.362 0.232
Ac6 Ac 0.748 0.000 0.748
Ac7 Ac 0.817 0.817 0.000
Ac8 Ac 0.869 0.638 0.232
Pm1 Pm 0.309 0.809 0.500
Pm2 Pm 0.691 0.191 0.500
In1 In 0.000 0.500 0.500

***

No. 2
# Na2AcGaSe4 (PBE, relaxed)
# space group	C2/c
# energy relative to the elements, uncorrected	-9.11	eV/f.u.
# total magnetization	0.00	μB/cell
data_Na2AcGaSe4
_chemical_formula_sum 'Na4 Ac2 Ga2 Se8'
_cell_length_a 8.515
_cell_length_b 8.515
_cell_length_c 8.050
_cell_angle_alpha 117.79
_cell_angle_beta 117.79
_cell_angle_gamma 90.63
_symmetry_space_group_name_H-M 'P 1'
_symmetry_Int_Tables_number 1
loop_
_symmetry_equiv_pos_as_xyz
'x,y,z'
loop_
_atom_site_label
_atom_site_type_symbol
_atom_site_fract_x
_atom_site_fract_y
_atom_site_fract_z
Na1 Na 0.000 0.000 0.000
Na2 Na 0.000 0.000 0.500
Na3 Na 0.000 0.500 0.000
Na4 Na 0.500 0.000 0.500
Ac1 Ac 0.000 0.500 0.500
Ac2 Ac 0.500 0.000 0.000
Ga1 Ga 0.500 0.500 0.000
Ga2 Ga 0.500 0.500 0.500
Se1 Se 0.245 0.752 0.005
Se2 Se 0.248 0.755 0.495
Se3 Se 0.295 0.308 0.021
Se4 Se 0.308 0.295 0.521
Se5 Se 0.692 0.705 0.479
Se6 Se 0.705 0.692 0.979
Se7 Se 0.752 0.245 0.505
Se8 Se 0.755 0.248 0.995

***

No. 3
# Pm2Ni3HgGe4 (PBE, relaxed)
# space group	P-4m2
# total magnetization	0.00	μB/cell
data_Pm2Ni3HgGe4
_chemical_formula_sum 'Pm2 Ni3 Hg1 Ge4'
_cell_length_a 4.220
_cell_length_b 4.220
_cell_length_c 10.108
_cell_angle_alpha 90.00
_cell_angle_beta 90.00
_cell_angle_gamma 90.00
_symmetry_space_group_name_H-M 'P 1'
_symmetry_Int_Tables_number 1
loop_
_symmetry_equiv_pos_as_xyz
'x,y,z'
loop_
_atom_site_label
_atom_site_type_symbol
_atom_site_fract_x
_atom_site_fract_y
_atom_site_fract_z
Pm1 Pm 0.000 0.500 0.237
Pm2 Pm 0.500 0.000 0.763
Ni1 Ni 0.000 0.500 0.888
Ni2 Ni 0.500 0.000 0.112
Ni3 Ni 0.500 0.500 0.500
Hg1 Hg 0.000 0.000 0.500
Ge1 Ge 0.000 0.000 0.000
Ge2 Ge 0.000 0.500 0.657
Ge3 Ge 0.500 0.000 0.343
Ge4 Ge 0.500 0.500 0.000

***

No. 4
# Ca4ZnCdIn2 (PBE, relaxed)
# space group	R-3m
# total magnetization	0.00	μB/cell
data_Ca4ZnCdIn2
_chemical_formula_sum 'Ca4 Zn1 Cd1 In2'
_cell_length_a 9.328
_cell_length_b 9.328
_cell_length_c 9.328
_cell_angle_alpha 33.61
_cell_angle_beta 33.61
_cell_angle_gamma 33.61
_symmetry_space_group_name_H-M 'P 1'
_symmetry_Int_Tables_number 1
loop_
_symmetry_equiv_pos_as_xyz
'x,y,z'
loop_
_atom_site_label
_atom_site_type_symbol
_atom_site_fract_x
_atom_site_fract_y
_atom_site_fract_z
Ca1 Ca 0.123 0.123 0.123
Ca2 Ca 0.373 0.373 0.373
Ca3 Ca 0.627 0.627 0.627
Ca4 Ca 0.877 0.877 0.877
Zn1 Zn 0.000 0.000 0.000
Cd1 Cd 0.500 0.500 0.500
In1 In 0.249 0.249 0.249
In2 In 0.751 0.751 0.751

***

No. 5
# ErReSi2Os (PBE, relaxed)
# space group	I-4m2
# energy relative to the elements, uncorrected	-2.83	eV/f.u.
# total magnetization	0.00	μB/cell
data_ErReSi2Os
_chemical_formula_sum 'Er2 Re2 Si4 Os2'
_cell_length_a 4.135
_cell_length_b 4.135
_cell_length_c 9.874
_cell_angle_alpha 90.00
_cell_angle_beta 90.00
_cell_angle_gamma 90.00
_symmetry_space_group_name_H-M 'P 1'
_symmetry_Int_Tables_number 1
loop_
_symmetry_equiv_pos_as_xyz
'x,y,z'
loop_
_atom_site_label
_atom_site_type_symbol
_atom_site_fract_x
_atom_site_fract_y
_atom_site_fract_z
Er1 Er 0.000 0.000 0.000
Er2 Er 0.500 0.500 0.500
Re1 Re 0.000 0.500 0.750
Re2 Re 0.500 0.000 0.250
Si1 Si 0.000 0.000 0.377
Si2 Si 0.000 0.000 0.623
Si3 Si 0.500 0.500 0.123
Si4 Si 0.500 0.500 0.877
Os1 Os 0.000 0.500 0.250
Os2 Os 0.500 0.000 0.750

***

No. 6
# TiNbTcIr (PBE, relaxed)
# space group	F-43m
# total magnetization	0.00	μB/cell
data_TiNbTcIr
_chemical_formula_sum 'Ti4 Nb4 Tc4 Ir4'
_cell_length_a 6.308
_cell_length_b 6.308
_cell_length_c 6.308
_cell_angle_alpha 90.00
_cell_angle_beta 90.00
_cell_angle_gamma 90.00
_symmetry_space_group_name_H-M 'P 1'
_symmetry_Int_Tables_number 1
loop_
_symmetry_equiv_pos_as_xyz
'x,y,z'
loop_
_atom_site_label
_atom_site_type_symbol
_atom_site_fract_x
_atom_site_fract_y
_atom_site_fract_z
Ti1 Ti 0.000 0.000 0.000
Ti2 Ti 0.000 0.500 0.500
Ti3 Ti 0.500 0.000 0.500
Ti4 Ti 0.500 0.500 0.000
Nb1 Nb 0.000 0.000 0.500
Nb2 Nb 0.000 0.500 0.000
Nb3 Nb 0.500 0.000 0.000
Nb4 Nb 0.500 0.500 0.500
Tc1 Tc 0.250 0.250 0.250
Tc2 Tc 0.250 0.750 0.750
Tc3 Tc 0.750 0.250 0.750
Tc4 Tc 0.750 0.750 0.250
Ir1 Ir 0.250 0.250 0.750
Ir2 Ir 0.250 0.750 0.250
Ir3 Ir 0.750 0.250 0.250
Ir4 Ir 0.750 0.750 0.750

***

no.,total energy (eV per atom)
1,-4.0895
2,-4.1021
3,-5.1305
4,-2.3539
5,-8.3836
6,-9.8458